Record 1
Entry from the Alexandria database: Ti6Ru5Rh after structural relaxation (PBE).

Summary:
mass density = 8.44 Mg/m³
DOS(E_F) = 0.380 states/eV/atom
DFT total energy = -110.21 eV per cell
energy of formation from the pure elements = -9.109 eV/f.u.
magnetization = 0.0 μB per formula unit
symmetry = No. 71

a b c (Å): 7.5471 7.5471 7.5471
angles (deg): 146.36 131.72 60.13
With the nearest neighbours (Å) after each atom.
Sites, in units of the cell vectors:
Ti: 0.0805 0.3321 0.7484  7 Ru 2.66-2.68, 1 Rh 2.69
Ti: 0.2466 0.0000 0.2466  6 Ru 2.66-2.67, 2 Rh 2.69
Ti: 0.4163 0.6679 0.7484  7 Ru 2.66-2.68, 1 Rh 2.69
Ti: 0.5837 0.3321 0.2516  7 Ru 2.66-2.68, 1 Rh 2.69
Ti: 0.7534 0.0000 0.7534  6 Ru 2.66-2.67, 2 Rh 2.69
Ti: 0.9195 0.6679 0.2516  7 Ru 2.66-2.68, 1 Rh 2.69
Ru: 0.0000 0.5000 0.5000  8 Ti 2.66-2.68
Ru: 0.1666 0.1666 0.0000  8 Ti 2.66-2.67
Ru: 0.3340 0.8340 0.5000  8 Ti 2.66-2.68
Ru: 0.6660 0.1660 0.5000  8 Ti 2.66-2.68
Ru: 0.8334 0.8334 0.0000  8 Ti 2.66-2.67
Rh: 0.5000 0.5000 0.0000  8 Ti 2.69

Record 2
Entry from the Alexandria database: Tl4Bi after structural relaxation (PBE).

Summary:
mass density = 10.78 Mg/m³
DOS(E_F) = 0.321 states/eV/atom
DFT total energy = -13.36 eV per cell
energy of formation from the pure elements = -0.014 eV/f.u.
energy above the lowest structure with this stoichiometry = 0.0000 eV/atom
magnetization = 0.0 μB per formula unit
symmetry = No. 139

a b c (Å): 9.6075 9.6075 9.6075
angles (deg): 155.00 155.00 35.65
With the nearest neighbours (Å) after each atom.
Sites, in units of the cell vectors:
Tl: 0.0962 0.0962 0.0000  4 Bi 3.43, 6 Tl 3.49-3.74
Tl: 0.3006 0.3006 0.0000  9 Tl 3.47-3.74, 1 Bi 3.65
Tl: 0.6994 0.6994 0.0000  9 Tl 3.47-3.74, 1 Bi 3.65
Tl: 0.9038 0.9038 0.0000  4 Bi 3.43, 6 Tl 3.49-3.74
Bi: 0.5000 0.5000 0.0000  10 Tl 3.43-3.65

Record 3
Entry from the Alexandria database: RhN2F after structural relaxation (PBE).

Summary:
mass density = 5.38 Mg/m³
DOS(E_F) = 0.747 states/eV/atom
formation energy without anion corrections = 0.758 eV per atom
DFT total energy = -22.84 eV per cell
energy above the lowest structure with this stoichiometry = 0.0000 eV/atom
magnetization = 0.0 μB per formula unit
symmetry = No. 166

a b c (Å): 5.6029 5.6029 5.6029
angles (deg): 32.93 32.93 32.93
With the nearest neighbours (Å) after each atom.
Sites, in units of the cell vectors:
Rh: 0.0000 0.0000 0.0000  6 N 2.04
N: 0.3890 0.3890 0.3890  1 F 1.76
N: 0.6110 0.6110 0.6110  1 F 1.76
F: 0.5000 0.5000 0.5000  2 N 1.76

Question: Which of these has the highest DOS(E_F)?
Answer: RhN2F

Question: Which value of magnetization does entry 1 give?
Answer: 0.0 μB per formula unit

Question: Number 3 is which compound?
Answer: RhN2F